## SrZrSc3 (PBE-GGA)

Data for SrZrSc3 after structural relaxation.

Unit cell a=5.126 b=5.126 c=5.126 alpha=90.00 beta=90.00 gamma=90.00
Space group Pm-3m (No. 221)
One atom of each set of equivalent atoms:
Sr1 0.000 0.000 0.000 x1
Zr1 0.500 0.500 0.500 x1
Sc1 0.000 0.000 0.500 x3

Properties
ΔH_f (0 K)   1.315 eV per atom
DOS at the Fermi energy   7.76 states/eV per cell
E above lowest polymorph   814 meV/atom